Here is a relaxed Ac5Er2Pb4 crystal from Alexandria. Energies are from PBE.

Lattice parameters (Å, degrees): 12.085 12.085 9.034 96.46 96.46 18.43
Atoms (fractional coordinates):
Ac (0.000, 0.000, 0.000)
Ac (0.264, 0.264, 0.672)
Ac (0.341, 0.341, 0.105)
Ac (0.659, 0.659, 0.895)
Ac (0.736, 0.736, 0.328)
Er (0.112, 0.112, 0.516)
Er (0.888, 0.888, 0.484)
Pb (0.404, 0.404, 0.776)
Pb (0.473, 0.473, 0.323)
Pb (0.527, 0.527, 0.677)
Pb (0.596, 0.596, 0.224)

Properties
Energy of formation from the pure elements ... -0.151 eV/atom

***

Here is a relaxed Ac5ErPb6 crystal from Alexandria. Energies are from PBE.

Lattice parameters (Å, degrees): 10.222 10.222 6.151 107.41 107.41 123.61
Atoms (fractional coordinates):
Ac (0.000, 0.000, 0.000)
Ac (0.160, 0.840, 0.500)
Ac (0.323, 0.677, 0.000)
Ac (0.677, 0.323, 0.000)
Ac (0.840, 0.160, 0.500)
Er (0.500, 0.500, 0.500)
Pb (0.110, 0.430, 0.270)
Pb (0.282, 0.282, 0.782)
Pb (0.430, 0.110, 0.270)
Pb (0.570, 0.890, 0.730)
Pb (0.718, 0.718, 0.218)
Pb (0.890, 0.570, 0.730)

Properties
Energy of formation from the pure elements ... -0.443 eV/atom

***

Here is a relaxed AcErPb2 crystal from Alexandria. Energies are from PBE.

Lattice parameters (Å, degrees): 9.455 9.455 6.438 103.67 103.67 30.66
Atoms (fractional coordinates):
Ac (0.116, 0.116, 0.085)
Ac (0.884, 0.884, 0.915)
Er (0.348, 0.348, 0.406)
Er (0.652, 0.652, 0.594)
Pb (0.248, 0.248, 0.761)
Pb (0.498, 0.498, 0.246)
Pb (0.502, 0.502, 0.754)
Pb (0.752, 0.752, 0.239)

Properties
Energy of formation from the pure elements ... -0.362 eV/atom

***

Here is a relaxed AcErPb2 crystal from Alexandria. Energies are from PBE.

Lattice parameters (Å, degrees): 7.710 7.710 7.710 36.92 36.92 36.92
Atoms (fractional coordinates):
Ac (0.000, 0.000, 0.000)
Er (0.825, 0.825, 0.825)
Pb (0.423, 0.423, 0.423)
Pb (0.570, 0.570, 0.570)

Properties
Energy of formation from the pure elements ... -0.328 eV/atom